Entry 1:
Crystalline BaSm2Al3Zn6 at its relaxed geometry. Source: the Alexandria database, functional PBE.

Summary:
N(E_F): 0.563 states/eV/atom
Space group: P4/mmm, No. 123
Energy: -2.750 eV per atom

Cell: 4.290 4.290 14.149 Å, 90.00 90.00 90.00°
Element x y z (fractional)
Ba 0.500 0.500 0.500
Sm 0.500 0.500 0.121
Sm 0.500 0.500 0.879
Al 0.000 0.000 0.394
Al 0.000 0.000 0.606
Al 0.000 0.000 0.000
Zn 0.000 0.500 0.709
Zn 0.500 0.000 0.291
Zn 0.500 0.000 0.709
Zn 0.000 0.000 0.185
Zn 0.000 0.500 0.291
Zn 0.000 0.000 0.815

=====

Entry 2:
Crystalline Ba2AlSn3 at its relaxed geometry. Source: the Alexandria database, functional PBE.

Summary:
N(E_F): 0.683 states/eV/atom
Space group: Pmm2, No. 25
Energy: -3.734 eV per atom

Cell: 5.050 4.806 8.569 Å, 90.00 90.00 90.00°
Element x y z (fractional)
Ba 0.000 0.500 0.996
Ba 0.000 0.000 0.504
Al 0.500 0.500 0.331
Sn 0.500 0.000 0.838
Sn 0.500 0.000 0.183
Sn 0.500 0.500 0.648

=====

Entry 3:
Crystalline BaAl2Sn2 at its relaxed geometry. Source: the Alexandria database, functional PBE.

Summary:
N(E_F): 0.371 states/eV/atom
Space group: P4/mbm, No. 127
Energy: -3.533 eV per atom

Cell: 8.737 8.737 3.596 Å, 90.00 90.00 90.00°
Element x y z (fractional)
Al 0.149 0.649 0.500
Al 0.649 0.851 0.500
Al 0.851 0.351 0.500
Al 0.351 0.149 0.500
Ba 0.000 0.000 0.000
Ba 0.500 0.500 0.000
Sn 0.369 0.869 0.000
Sn 0.869 0.631 0.000
Sn 0.631 0.131 0.000
Sn 0.131 0.369 0.000

=====

Entry 4:
Crystalline BaAlSn2 at its relaxed geometry. Source: the Alexandria database, functional PBE.

Summary:
N(E_F): 0.565 states/eV/atom
Space group: R-3m, No. 166
Energy: -3.723 eV per atom

Cell: 4.880 4.880 6.711 Å, 68.68 68.68 60.00°
Element x y z (fractional)
Al 0.000 0.000 0.000
Ba 0.500 0.500 0.500
Sn 0.288 0.288 0.137
Sn 0.712 0.712 0.863

=====

Entry 5:
Crystalline BaAl2Sn2 at its relaxed geometry. Source: the Alexandria database, functional PBE.

Summary:
N(E_F): 0.515 states/eV/atom
Space group: R-3m, No. 166
Energy: -3.648 eV per atom

Cell: 4.876 4.876 7.510 Å, 71.05 71.05 60.00°
Element x y z (fractional)
Ba 0.000 0.000 0.000
Al 0.186 0.186 0.441
Al 0.814 0.814 0.559
Sn 0.568 0.568 0.295
Sn 0.432 0.432 0.705

=====

Entry 6:
Crystalline BaAl3Sn3 at its relaxed geometry. Source: the Alexandria database, functional PBE.

Summary:
N(E_F): 0.410 states/eV/atom
Space group: Pm-3n, No. 223
Energy: -3.658 eV per atom

Cell: 7.646 7.646 7.646 Å, 90.00 90.00 90.00°
Element x y z (fractional)
Al 0.250 0.000 0.500
Al 0.000 0.500 0.250
Al 0.500 0.750 0.000
Al 0.750 0.000 0.500
Al 0.000 0.500 0.750
Al 0.500 0.250 0.000
Ba 0.500 0.500 0.500
Ba 0.000 0.000 0.000
Sn 0.000 0.250 0.500
Sn 0.000 0.750 0.500
Sn 0.500 0.000 0.750
Sn 0.750 0.500 0.000
Sn 0.500 0.000 0.250
Sn 0.250 0.500 0.000

=====

Entry 7:
Crystalline Ba2Al7Sn at its relaxed geometry. Source: the Alexandria database, functional PBE.

Summary:
N(E_F): 0.202 states/eV/atom
Space group: P-4m2, No. 115
Energy: -3.647 eV per atom

Cell: 4.693 4.693 11.254 Å, 90.00 90.00 90.00°
Element x y z (fractional)
Ba 0.500 0.000 0.745
Ba 0.000 0.500 0.255
Al 0.000 0.500 0.864
Al 0.500 0.000 0.374
Al 0.500 0.000 0.136
Al 0.000 0.500 0.626
Al 0.000 0.000 0.500
Al 0.000 0.000 0.000
Al 0.500 0.500 0.500
Sn 0.500 0.500 0.000

=====

Entry 8:
Crystalline Ba2AlSn at its relaxed geometry. Source: the Alexandria database, functional PBE.

Summary:
N(E_F): 1.345 states/eV/atom
Space group: I-42d, No. 122
Energy: -2.832 eV per atom

Cell: 9.423 9.423 7.540 Å, 51.33 51.33 90.00°
Element x y z (fractional)
Al 0.500 0.500 0.000
Al 0.250 0.750 0.500
Ba 0.618 0.125 0.250
Ba 0.132 0.625 0.250
Ba 0.375 0.382 0.750
Ba 0.875 0.868 0.750
Sn 0.000 0.000 0.000
Sn 0.750 0.250 0.500

=====

Entry 9:
Crystalline Ba3AlSn3 at its relaxed geometry. Source: the Alexandria database, functional PBE.

Summary:
N(E_F): 0.277 states/eV/atom
Space group: C2/m, No. 12
Energy: -3.508 eV per atom

Cell: 9.213 9.213 7.761 Å, 98.67 98.67 118.82°
Element x y z (fractional)
Ba 0.620 0.620 0.297
Ba 0.155 0.845 0.500
Ba 0.845 0.155 0.500
Ba 0.219 0.781 0.000
Ba 0.781 0.219 0.000
Ba 0.380 0.380 0.703
Al 0.764 0.764 0.782
Al 0.236 0.236 0.218
Sn 0.925 0.925 0.150
Sn 0.794 0.485 0.671
Sn 0.485 0.794 0.671
Sn 0.206 0.515 0.329
Sn 0.515 0.206 0.329
Sn 0.075 0.075 0.850

=====

Entry 10:
Crystalline Ba2AlSn2 at its relaxed geometry. Source: the Alexandria database, functional PBE.

Summary:
N(E_F): 0.614 states/eV/atom
Space group: P4/mbm, No. 127
Energy: -3.526 eV per atom

Cell: 7.878 7.878 5.519 Å, 90.00 90.00 90.00°
Element x y z (fractional)
Al 0.000 0.000 0.000
Al 0.500 0.500 0.000
Ba 0.171 0.671 0.500
Ba 0.671 0.829 0.500
Ba 0.829 0.329 0.500
Ba 0.329 0.171 0.500
Sn 0.365 0.865 0.000
Sn 0.865 0.635 0.000
Sn 0.635 0.135 0.000
Sn 0.135 0.365 0.000

=====

Entry 11:
Crystalline Ba2AlSn at its relaxed geometry. Source: the Alexandria database, functional PBE.

Summary:
N(E_F): 0.950 states/eV/atom
Space group: C2/c, No. 15
Energy: -3.060 eV per atom

Cell: 5.498 11.466 6.635 Å, 115.90 114.48 90.00°
Element x y z (fractional)
Ba 0.155 0.589 0.353
Ba 0.845 0.411 0.647
Ba 0.198 0.089 0.353
Ba 0.802 0.911 0.647
Al 0.233 0.750 0.000
Al 0.767 0.250 0.000
Sn 0.267 0.250 0.000
Sn 0.733 0.750 0.000

=====

Entry 12:
Crystalline BaAlSn3 at its relaxed geometry. Source: the Alexandria database, functional PBE.

Summary:
N(E_F): 0.302 states/eV/atom
Space group: P2_1/m, No. 11
Energy: -3.872 eV per atom

Cell: 6.574 6.575 7.370 Å, 90.00 90.00 72.40°
Element x y z (fractional)
Ba 0.043 0.246 0.052
Ba 0.517 0.719 0.552
Al 0.899 0.102 0.552
Al 0.662 0.864 0.052
Sn 0.159 0.362 0.552
Sn 0.401 0.603 0.052
Sn 0.553 0.210 0.802
Sn 0.553 0.210 0.302
Sn 0.008 0.756 0.302
Sn 0.008 0.756 0.802